# 1
# Sm2Ho2Br3NCl2 (PBE, relaxed)
data_Sm2Ho2Br3NCl2
_symmetry_space_group_name_H-M 'C 1 2/m 1'
_symmetry_Int_Tables_number 12
_cell_length_a 17.484
_cell_length_b 3.721
_cell_length_c 7.978
_cell_angle_alpha 90.00
_cell_angle_beta 103.89
_cell_angle_gamma 90.00
loop_
_symmetry_equiv_pos_as_xyz
'x,y,z'
'-x,-y,-z'
'-x,y,-z'
'x,-y,z'
'x+1/2,y+1/2,z'
'-x+1/2,-y+1/2,-z'
'-x+1/2,y+1/2,-z'
'x+1/2,-y+1/2,z'
loop_
_atom_site_label
_atom_site_fract_x
_atom_site_fract_y
_atom_site_fract_z
_atom_site_occupancy
Sm1 0.142 0.000 0.079 1
Ho1 0.000 0.500 0.200 1
Br1 0.000 0.000 0.500 1
Br2 0.169 0.500 0.811 1
N1 0.000 0.000 0.000 1
Cl1 0.156 0.500 0.345 1
# Calculated volume   503.9 Å³/cell
# E   -5.2608 eV per atom
# Size of the total moment   0.00 Bohr magnetons per cell
# Calculated density   6.30 g cm⁻³

***

# 2
# Np (PBE, relaxed)
data_Np
_symmetry_space_group_name_H-M 'C m c e'
_symmetry_Int_Tables_number 64
_symmetry_space_group_name_Hall '-C 2ac 2'
_cell_length_a 4.246
_cell_length_b 9.938
_cell_length_c 3.667
_cell_angle_alpha 90.00
_cell_angle_beta 90.00
_cell_angle_gamma 90.00
loop_
_atom_site_label
_atom_site_fract_x
_atom_site_fract_y
_atom_site_fract_z
_atom_site_occupancy
Np1 0.000 0.123 0.078 1
# Calculated volume   154.7 Å³/cell
# E   -12.7318 eV per atom
# Size of the total moment   0.01 Bohr magnetons per cell
# Distance to the lowest polymorph of the same formula   38.0 meV per atom
# Formation enthalpy at 0 K   0.038 eV/atom
# Calculated density   20.35 g cm⁻³

***

# 3
# HoTaSi (PBE, relaxed)
data_HoTaSi
_symmetry_space_group_name_H-M 'F -4 3 m'
_symmetry_Int_Tables_number 216
_symmetry_space_group_name_Hall 'F -4 2 3'
_cell_length_a 6.377
_cell_length_b 6.377
_cell_length_c 6.377
_cell_angle_alpha 90.00
_cell_angle_beta 90.00
_cell_angle_gamma 90.00
loop_
_atom_site_label
_atom_site_fract_x
_atom_site_fract_y
_atom_site_fract_z
_atom_site_occupancy
Ho1 0.000 0.000 0.000 1
Ta1 0.000 0.000 0.500 1
Si1 0.250 0.250 0.250 1
# Calculated volume   259.3 Å³/cell
# E   -7.2525 eV per atom
# Size of the total moment   1.81 Bohr magnetons per cell
# Calculated density   9.58 g cm⁻³